Tb2CoH: optimized geometry, PBE.

Output
**Mass density**: 8484 kg/m³
**Energy**: -5.13 eV/atom
**E above lowest polymorph**: 0 kJ/mol of formula units
**Total moment**: 0.000 μB per formula unit

The structure in POSCAR format:
```
Tb2CoH
1.0
1.885 1.088 6.009
-1.885 1.088 6.009
0.000 -2.176 6.009
Tb Co H
2 1 1
direct
0.247 0.247 0.247 Tb
0.753 0.753 0.753 Tb
0.000 0.000 0.000 Co
0.500 0.500 0.500 H
```